Entry from Alexandria: Mg2InAgH after structural relaxation (PBE).

Computed properties:
- Magnetization: 0.00 μB/cell
- ρ: 5.248 g/cm3
- Fermi-level density of states: 1.14 states/eV/f.u.
- E_tot: -2.423 eV/atom
- Energy relative to the lowest polymorph listed for this composition: 0.0 meV/atom

Cell and atoms, written as CIF:
```
data_Mg2InAgH
_chemical_formula_sum 'Mg2 In1 Ag1 H1'
_space_group_name_H-M_alt 'P 4/m m m'
_space_group_IT_number 123
_space_group_name_Hall '-P 4 2'
_cell_length_a 4.694
_cell_length_b 4.694
_cell_length_c 3.911
_cell_angle_alpha 90.00
_cell_angle_beta 90.00
_cell_angle_gamma 90.00
loop_
_atom_site_label
_atom_site_type_symbol
_atom_site_fract_x
_atom_site_fract_y
_atom_site_fract_z
_atom_site_occupancy
Mg1 Mg 0.000 0.500 0.000 1
In1 In 0.000 0.000 0.500 1
Ag1 Ag 0.500 0.500 0.500 1
H1 H 0.500 0.500 0.000 1
```